## Tl2Cd2As (PBE-GGA)

Data for a relaxed structure of Tl2Cd2As.

Computed properties:
As for the energy relative to the lowest polymorph listed for this composition: 0.230 eV/atom. As for the crystal system: tetragonal.

a b c (Å): 8.7001 8.7001 3.5491
angles (deg): 90.00 90.00 90.00
With the nearest neighbours (Å) after each atom.
Space group P4/mbm (No. 127)
Symmetry-distinct sites (fractional):
Tl 0.1828 0.3172 0.0000  6 Cd 3.00-3.23, 2 As 3.19
Cd 0.1207 0.6207 0.5000  1 Cd 2.97, 6 Tl 3.00-3.23
As 0.0000 0.0000 0.0000  4 Tl 3.19, 2 As 3.55